## w
A plane-wave DFT calculation with PBEsol was carried out for a geometry-optimized LaTiNbO6 structure.

abc: 5.4184 7.5411 11.0079
angles: 90.00 90.00 90.00
Last column: nearest neighbours and their distance in Å.
Fractional coordinates of all 36 atoms:
La  0.9565  0.2499  0.5419  8 O 2.44-2.54
La  0.5435  0.2499  0.0419  8 O 2.44-2.54
La  0.0435  0.7499  0.4581  8 O 2.44-2.54
La  0.4565  0.7499  0.9581  8 O 2.44-2.54
Ti  0.4678  0.5069  0.6400  5 O 1.87-2.02
Ti  0.5322  0.0069  0.3600  5 O 1.87-2.02
Ti  0.9678  0.0069  0.8600  5 O 1.87-2.02
Ti  0.0322  0.5069  0.1400  5 O 1.87-2.02
Nb  0.0383  0.9944  0.1472  5 O 1.89-2.02
Nb  0.9617  0.4944  0.8528  5 O 1.89-2.02
Nb  0.5383  0.4944  0.3528  5 O 1.89-2.02
Nb  0.4617  0.9944  0.6472  5 O 1.89-2.02
O  0.1326  0.4424  0.7077  1 Nb 1.89, 1 Ti 2.02
O  0.3757  0.0566  0.2124  1 Ti 1.87, 1 Nb 2.02
O  0.8674  0.9424  0.2923  1 Nb 1.89, 1 Ti 2.02
O  0.6243  0.5566  0.7876  1 Ti 1.87, 1 Nb 2.02
O  0.8757  0.5566  0.2876  1 Ti 1.87, 1 Nb 2.02
O  0.6326  0.9424  0.7923  1 Nb 1.89, 1 Ti 2.02
O  0.1243  0.0566  0.7124  1 Ti 1.87, 1 Nb 2.02
O  0.3674  0.4424  0.2077  1 Nb 1.89, 1 Ti 2.02
O  0.2708  0.4633  0.4739  1 Nb 1.98, 1 Ti 2.14
O  0.2312  0.0369  0.9726  1 Ti 1.90
O  0.7292  0.9633  0.5261  1 Nb 1.98, 1 Ti 2.14
O  0.7688  0.5369  0.0274  1 Ti 1.90
O  0.7312  0.5369  0.5274  1 Ti 1.90
O  0.7708  0.9633  0.0261  1 Nb 1.98, 1 Ti 2.14
O  0.2688  0.0369  0.4726  1 Ti 1.90
O  0.2292  0.4633  0.9739  1 Nb 1.98, 1 Ti 2.14
O  0.5435  0.2525  0.6439  1 Ti 1.96, 1 Nb 2.00
O  0.9565  0.2525  0.1439  1 Ti 1.96, 1 Nb 2.00
O  0.4565  0.7525  0.3561  1 Ti 1.96, 1 Nb 2.00
O  0.0435  0.7525  0.8561  1 Ti 1.96, 1 Nb 2.00
O  0.3453  0.7470  0.6231  1 Ti 1.94, 1 Nb 1.99
O  0.1547  0.7470  0.1231  1 Ti 1.94, 1 Nb 1.99
O  0.6547  0.2470  0.3769  1 Ti 1.94, 1 Nb 1.99
O  0.8453  0.2470  0.8769  1 Ti 1.94, 1 Nb 1.99

***

## x
A plane-wave DFT calculation with PBEsol was carried out for a geometry-optimized LaTiNbO6 structure.

abc: 5.2768 7.0844 7.0844
angles: 76.97 70.65 70.65
Last column: nearest neighbours and their distance in Å.
Fractional coordinates of all 18 atoms:
La  0.5000  0.1861  0.8139  8 O 2.43-2.67
La  0.0000  0.8169  0.1831  8 O 2.39-2.66
Ti  0.1965  0.1819  0.3480  6 O 1.87-2.02
Ti  0.8035  0.6520  0.8181  6 O 1.87-2.02
Nb  0.3112  0.8095  0.6473  6 O 1.92-2.07
Nb  0.6888  0.3527  0.1905  6 O 1.92-2.07
O  0.0935  0.1775  0.1011  1 Ti 2.01, 1 Nb 2.05
O  0.9065  0.8989  0.8225  1 Ti 2.01, 1 Nb 2.05
O  0.4091  0.8236  0.8997  1 Ti 2.00, 1 Nb 2.05
O  0.5909  0.1003  0.1764  1 Ti 2.00, 1 Nb 2.05
O  0.7892  0.2736  0.4468  1 Ti 1.95, 1 Nb 1.97
O  0.2108  0.5532  0.7264  1 Ti 1.95, 1 Nb 1.97
O  0.7226  0.7204  0.5577  1 Ti 1.95, 1 Nb 1.97
O  0.2774  0.4423  0.2796  1 Ti 1.95, 1 Nb 1.97
O  0.7197  0.4040  0.8859  1 Ti 1.87, 1 Nb 2.07
O  0.2803  0.1141  0.5960  1 Ti 1.87, 1 Nb 2.07
O  0.7728  0.6083  0.1152  1 Nb 1.92, 1 Ti 2.02
O  0.2272  0.8848  0.3917  1 Nb 1.92, 1 Ti 2.02

***

Most stable structure - w; separation to the second - 21 meV/atom.